*one*
First-principles (PBE) data for an optimized crystal structure of PW3Au, as listed in the Alexandria database.

```
PW3Au
1.0
-1.5638 2.8842 -3.0090
2.4203 -1.9880 -3.1635
-3.3933 -2.7472 -0.8697
P Au W
1 1 3
direct
0.0000 0.0000 0.0000
0.5000 0.5000 0.5000
0.0000 0.5000 0.0000
0.0000 0.0000 0.5000
0.5000 0.0000 0.0000
```

Results
space group	Pm-3m (221)


*two*
First-principles (PBE) data for an optimized crystal structure of PW3Au, as listed in the Alexandria database.

```
PW3Au
1.0
-4.4512 0.5414 1.8453
-0.0759 -4.6986 1.1956
1.9216 1.0686 4.3217
P Au W
1 1 3
direct
0.5000 0.5000 0.5000
0.0000 0.0000 0.0000
0.0000 0.5000 0.0000
0.0000 0.0000 0.5000
0.5000 0.0000 0.0000
```

Results
space group	Pm-3m (221)


Which of them is most stable? Easy: *one*.